No. 1
La2PuAu4 | GGA-PBE | optimized geometry

Summary:
The formation energy from the elements is -0.576 eV per atom. The volume is 394 Å³/cell.

Cell: 8.933 5.170 9.016 Å, 90.00 109.08 90.00°
Atoms (fractional coordinates):
La1 0.241 0.000 0.223
La2 0.259 0.500 0.777
La3 0.741 0.500 0.223
La4 0.759 0.000 0.777
Pu1 0.000 0.000 0.500
Pu2 0.500 0.500 0.500
Au1 0.119 0.000 0.858
Au2 0.134 0.500 0.403
Au3 0.366 0.000 0.597
Au4 0.381 0.500 0.142
Au5 0.619 0.500 0.858
Au6 0.634 0.000 0.403
Au7 0.866 0.500 0.597
Au8 0.881 0.000 0.142


No. 2
LaPuAu2 | GGA-PBE | optimized geometry

Summary:
The formation energy from the elements is -0.586 eV per atom. The volume is 107 Å³/cell.

Cell: 3.935 4.784 5.993 Å, 90.00 108.97 90.00°
Atoms (fractional coordinates):
La1 0.000 0.000 0.000
Pu1 0.277 0.500 0.558
Au1 0.555 0.500 0.111
Au2 0.724 0.000 0.452


No. 3
LaPuAu4 | GGA-PBE | optimized geometry

Summary:
The formation energy from the elements is -0.606 eV per atom. The offset from the most stable computed form comes out at 31.9 meV per atom. The volume is 280 Å³/cell.

Cell: 10.183 3.857 7.693 Å, 90.00 112.25 90.00°
Atoms (fractional coordinates):
La1 0.000 0.000 0.000
La2 0.500 0.500 0.000
Pu1 0.000 0.000 0.500
Pu2 0.500 0.500 0.500
Au1 0.166 0.500 0.827
Au2 0.169 0.500 0.341
Au3 0.331 0.000 0.659
Au4 0.334 0.000 0.173
Au5 0.666 0.000 0.827
Au6 0.669 0.000 0.341
Au7 0.831 0.500 0.659
Au8 0.834 0.500 0.173